Density functional theory data (PBE) for a relaxed structure of ErTmHg.

Cell lengths 7.1269, 7.1269, 7.1269 Å; angles 90.00, 90.00, 90.00 degrees
Last column: nearest neighbours and their distance in Å.
Space group F-43m (No. 216)
Inequivalent atoms, fractional coordinates:
Er: 0.0000 0.0000 0.0000 x4  4 Hg 3.09
Tm: 0.0000 0.0000 0.5000 x4  4 Hg 3.09
Hg: 0.2500 0.2500 0.2500 x4  4 Er 3.09, 4 Tm 3.09

Computed properties:
The total magnetic moment comes out at 0.00 μB per cell. The calculation puts the raw total energy at -0.2377 Ry/atom. The value obtained for the calculated volume is 362.0 Å³/cell. The density of states at the Fermi level is 9.8 states/eV per cell. For the formation energy, the calculation gives -122 meV per atom. Its energy relative to the lowest polymorph listed for this composition is 243 meV/atom.

---

Density functional theory data (PBE) for a relaxed structure of Er4TmHg7.

Cell lengths 12.6681, 5.4569, 10.8515 Å; angles 90.00, 121.98, 90.00 degrees
Last column: nearest neighbours and their distance in Å.
Space group C2/m (No. 12)
Inequivalent atoms, fractional coordinates:
Er: 0.0807 0.0000 0.2766 x4  8 Hg 2.99-3.20
Er: 0.2335 0.0000 0.8204 x4  6 Hg 3.06-3.18
Tm: 0.0000 0.5000 0.5000 x2  2 Hg 2.73
Hg: 0.0000 0.0000 0.5000 x2  2 Tm 2.73
Hg: 0.0733 0.5000 0.8379 x4  4 Hg 3.11-3.31, 5 Er 3.18-3.47, 1 Tm 3.27
Hg: 0.1403 0.0000 0.0391 x4  5 Er 3.05-3.16, 4 Hg 3.13-3.31
Hg: 0.2037 0.5000 0.4156 x4  4 Er 2.99-3.11, 3 Hg 3.11-3.15, 1 Tm 3.16

Computed properties:
The total magnetic moment comes out at 0.00 μB per cell. The calculation puts the raw total energy at -0.1739 Ry/atom. The value obtained for the calculated volume is 636.3 Å³/cell. The density of states at the Fermi level is 11.8 states/eV per cell. For the formation energy, the calculation gives -297 meV per atom.

---

Density functional theory data (PBE) for a relaxed structure of ErTm2Hg6.

Cell lengths 14.2613, 11.5814, 5.3931 Å; angles 90.00, 99.97, 90.00 degrees
Last column: nearest neighbours and their distance in Å.
Space group C2/c (No. 15)
Inequivalent atoms, fractional coordinates:
Er: 0.0000 0.1256 0.2500 x4  10 Hg 3.10-3.30
Tm: 0.1667 0.3747 0.0841 x8  10 Hg 3.10-3.29
Hg: 0.0553 0.3751 0.5291 x8  5 Hg 3.08-3.29, 4 Tm 3.10-3.29, 1 Er 3.29
Hg: 0.1117 0.1255 0.8044 x8  5 Hg 3.08-3.30, 3 Er 3.10-3.30, 2 Tm 3.11-3.29
Hg: 0.2226 0.1253 0.3615 x8  5 Hg 3.08-3.30, 4 Tm 3.10-3.29, 1 Er 3.13

Computed properties:
The total magnetic moment comes out at 0.00 μB per cell. The calculation puts the raw total energy at -0.1526 Ry/atom. The value obtained for the calculated volume is 877.3 Å³/cell. The density of states at the Fermi level is 15.4 states/eV per cell. For the formation energy, the calculation gives -374 meV per atom. Its energy relative to the lowest polymorph listed for this composition is 0 meV/atom.

---

Density functional theory data (PBE) for a relaxed structure of Er8Tm2Hg.

Cell lengths 19.1025, 5.4768, 6.2862 Å; angles 90.00, 95.41, 90.00 degrees
Last column: nearest neighbours and their distance in Å.
Space group C2/m (No. 12)
Inequivalent atoms, fractional coordinates:
Er: 0.0446 0.0000 0.2660 x4  2 Hg 3.28, 6 Er 3.48-3.67
Er: 0.0782 0.5000 0.6025 x4  1 Hg 3.03, 3 Er 3.14-3.30, 1 Tm 3.39
Er: 0.1559 0.0000 0.7980 x4  5 Er 3.30-3.51, 4 Tm 3.49-3.61
Er: 0.1596 0.5000 0.1247 x4  1 Hg 3.08, 2 Tm 3.37, 2 Er 3.42
Tm: 0.2435 0.0000 0.3322 x4  9 Er 3.37-3.73, 2 Tm 3.45
Hg: 0.0000 0.5000 0.0000 x2  8 Er 3.03-3.28

Computed properties:
The total magnetic moment comes out at 0.00 μB per cell. The calculation puts the raw total energy at -0.3095 Ry/atom. The value obtained for the calculated volume is 654.7 Å³/cell. The density of states at the Fermi level is 29.9 states/eV per cell. For the formation energy, the calculation gives -51 meV per atom.

---

Density functional theory data (PBE) for a relaxed structure of ErTmHg.

Cell lengths 6.9232, 5.0773, 9.1294 Å; angles 90.00, 90.00, 90.00 degrees
Last column: nearest neighbours and their distance in Å.
Space group Pnma (No. 62)
Inequivalent atoms, fractional coordinates:
Er: 0.1725 0.2500 0.0754 x4  4 Hg 3.00-3.07
Tm: 0.0154 0.2500 0.6974 x4  3 Hg 3.10-3.20, 1 Er 3.44
Hg: 0.2344 0.2500 0.4007 x4  4 Er 3.00-3.07, 3 Tm 3.10-3.20

Computed properties:
The total magnetic moment comes out at 0.00 μB per cell. The calculation puts the raw total energy at -0.2555 Ry/atom. The value obtained for the calculated volume is 320.9 Å³/cell. The density of states at the Fermi level is 3.9 states/eV per cell. For the formation energy, the calculation gives -365 meV per atom. Its energy relative to the lowest polymorph listed for this composition is 0 meV/atom.

---

Density functional theory data (PBE) for a relaxed structure of ErTmHg.

Cell lengths 3.5649, 3.5649, 12.7682 Å; angles 90.00, 90.00, 90.00 degrees
Last column: nearest neighbours and their distance in Å.
Space group I4mm (No. 107)
Inequivalent atoms, fractional coordinates:
Er: 0.0000 0.0000 0.0000 x2  4 Hg 3.21, 4 Tm 3.51, 4 Er 3.56
Tm: 0.0000 0.0000 0.3090 x2  4 Hg 3.19, 4 Er 3.51, 4 Tm 3.56
Hg: 0.0000 0.0000 0.6558 x2  4 Tm 3.19, 4 Er 3.21, 4 Hg 3.56

Computed properties:
The total magnetic moment comes out at 2.33 μB per cell. The calculation puts the raw total energy at -0.2507 Ry/atom. The value obtained for the calculated volume is 162.3 Å³/cell. The density of states at the Fermi level is 5.5 states/eV per cell. For the formation energy, the calculation gives -299 meV per atom. Its energy relative to the lowest polymorph listed for this composition is 66 meV/atom.

---

Density functional theory data (PBE) for a relaxed structure of Er5Tm4Hg.

Cell lengths 3.5103, 3.5103, 23.8025 Å; angles 90.00, 90.00, 90.00 degrees
Last column: nearest neighbours and their distance in Å.
Space group P4/mmm (No. 123)
Inequivalent atoms, fractional coordinates:
Er: 0.0000 0.0000 0.0000 x1  8 Tm 3.50, 4 Er 3.51
Er: 0.0000 0.0000 0.2075 x2  8 Tm 3.49-3.50, 4 Er 3.51
Er: 0.0000 0.0000 0.4150 x2  4 Hg 3.20, 4 Er 3.51, 4 Tm 3.51
Tm: 0.5000 0.5000 0.1036 x2  8 Er 3.50, 4 Tm 3.51
Tm: 0.5000 0.5000 0.3106 x2  8 Er 3.49-3.51, 4 Tm 3.51
Hg: 0.5000 0.5000 0.5000 x1  8 Er 3.20, 4 Hg 3.51

Computed properties:
The total magnetic moment comes out at 0.00 μB per cell. The calculation puts the raw total energy at -0.3067 Ry/atom. The value obtained for the calculated volume is 293.3 Å³/cell. The density of states at the Fermi level is 13.6 states/eV per cell. For the formation energy, the calculation gives -73 meV per atom.

---

Density functional theory data (PBE) for a relaxed structure of Er4TmHg.

Cell lengths 8.5990, 13.7789, 6.2805 Å; angles 90.00, 108.72, 90.00 degrees
Last column: nearest neighbours and their distance in Å.
Space group C2/c (No. 15)
Inequivalent atoms, fractional coordinates:
Er: 0.0986 0.1890 0.0430 x8  2 Hg 3.14-3.15, 3 Er 3.25-3.31, 1 Tm 3.48
Er: 0.2166 0.3797 0.3765 x8  2 Hg 3.25, 5 Er 3.25-3.61, 2 Tm 3.43-3.45
Tm: 0.0000 0.4068 0.7500 x4  10 Er 3.43-3.79
Hg: 0.0000 0.9996 0.2500 x4  8 Er 3.14-3.25, 2 Hg 3.14

Computed properties:
The total magnetic moment comes out at 0.00 μB per cell. The calculation puts the raw total energy at -0.2850 Ry/atom. The value obtained for the calculated volume is 704.8 Å³/cell. The density of states at the Fermi level is 32.1 states/eV per cell. For the formation energy, the calculation gives -41 meV per atom. Its energy relative to the lowest polymorph listed for this composition is 100 meV/atom.

---

Density functional theory data (PBE) for a relaxed structure of Er3TmHg4.

Cell lengths 14.0922, 5.2709, 5.9308 Å; angles 90.00, 107.93, 90.00 degrees
Last column: nearest neighbours and their distance in Å.
Space group C2/m (No. 12)
Inequivalent atoms, fractional coordinates:
Er: 0.0000 0.0000 0.0000 x2  4 Hg 3.06
Er: 0.1661 0.0000 0.5790 x4  5 Hg 3.04-3.36
Tm: 0.0000 0.5000 0.5000 x2  2 Hg 2.97
Hg: 0.1121 0.5000 0.1508 x4  1 Tm 2.97, 2 Hg 3.01-3.12, 3 Er 3.04-3.06
Hg: 0.2401 0.5000 0.8267 x4  5 Hg 3.01-3.34, 4 Er 3.04-3.36, 1 Tm 3.34

Computed properties:
The total magnetic moment comes out at 0.00 μB per cell. The calculation puts the raw total energy at -0.1980 Ry/atom. The value obtained for the calculated volume is 419.1 Å³/cell. The density of states at the Fermi level is 11.9 states/eV per cell. For the formation energy, the calculation gives -273 meV per atom. Its energy relative to the lowest polymorph listed for this composition is 206 meV/atom.

---

Density functional theory data (PBE) for a relaxed structure of ErTm2Hg8.

Cell lengths 15.8916, 4.8771, 7.2089 Å; angles 90.00, 108.88, 90.00 degrees
Last column: nearest neighbours and their distance in Å.
Space group C2/m (No. 12)
Inequivalent atoms, fractional coordinates:
Er: 0.0000 0.0000 0.0000 x2  12 Hg 3.05-3.36
Tm: 0.2176 0.5000 0.6560 x4  10 Hg 3.08-3.28
Hg: 0.0328 0.5000 0.7318 x4  7 Hg 3.11-3.27, 1 Tm 3.16, 2 Er 3.26
Hg: 0.0980 0.0000 0.4561 x4  6 Hg 3.06-3.37, 3 Tm 3.14-3.28, 1 Er 3.15
Hg: 0.1485 0.5000 0.1884 x4  7 Hg 3.11-3.36, 3 Tm 3.19, 2 Er 3.36
Hg: 0.1735 0.0000 0.9038 x4  1 Er 3.05, 8 Hg 3.06-3.41, 3 Tm 3.08-3.23

Computed properties:
The total magnetic moment comes out at 0.00 μB per cell. The calculation puts the raw total energy at -0.1273 Ry/atom. The value obtained for the calculated volume is 528.7 Å³/cell. The density of states at the Fermi level is 9.4 states/eV per cell. For the formation energy, the calculation gives -285 meV per atom.

---

Density functional theory data (PBE) for a relaxed structure of ErTm2Hg2.

Cell lengths 8.3622, 8.3622, 3.7860 Å; angles 90.00, 90.00, 90.00 degrees
Last column: nearest neighbours and their distance in Å.
Space group P4/mbm (No. 127)
Inequivalent atoms, fractional coordinates:
Er: 0.0000 0.0000 0.0000 x2  4 Hg 3.26, 8 Tm 3.65
Tm: 0.1660 0.3340 0.5000 x4  6 Hg 3.03-3.15
Hg: 0.1336 0.6336 0.0000 x4  6 Tm 3.03-3.15, 1 Hg 3.16, 2 Er 3.26

Computed properties:
The total magnetic moment comes out at 0.00 μB per cell. The calculation puts the raw total energy at -0.2355 Ry/atom. The value obtained for the calculated volume is 264.7 Å³/cell. The density of states at the Fermi level is 5.5 states/eV per cell. For the formation energy, the calculation gives -382 meV per atom. Its energy relative to the lowest polymorph listed for this composition is 3 meV/atom.

---

Density functional theory data (PBE) for a relaxed structure of Er2Tm3Hg3.

Cell lengths 3.7075, 5.2204, 21.7392 Å; angles 90.00, 90.00, 90.00 degrees
Last column: nearest neighbours and their distance in Å.
Space group Immm (No. 71)
Inequivalent atoms, fractional coordinates:
Er: 0.0000 0.0000 0.2323 x4  2 Hg 3.10, 4 Er 3.29
Tm: 0.0000 0.0000 0.0000 x2  8 Hg 3.17-3.20
Tm: 0.0000 0.5000 0.1215 x4  6 Hg 3.20-3.23, 2 Er 3.55
Hg: 0.0000 0.0000 0.5000 x2  8 Tm 3.20-3.23
Hg: 0.0000 0.5000 0.3817 x4  2 Er 3.10, 6 Tm 3.17-3.20

Computed properties:
The total magnetic moment comes out at 0.00 μB per cell. The calculation puts the raw total energy at -0.2414 Ry/atom. The value obtained for the calculated volume is 420.8 Å³/cell. The density of states at the Fermi level is 15.5 states/eV per cell. For the formation energy, the calculation gives -354 meV per atom.